1.
GGA-PBEsol Na2CuGeB, optimized geometry; E = -13.81 eV for the cell shown; density = 2818 kg/m3; density of states at the Fermi level = 2.18 states/eV/f.u.
1.0
4.3663 0.0000 0.0000
0.0000 5.1029 0.0000
0.0000 0.0000 5.1029
Na Ge B Cu
2 1 1 1
Cartesian
0.0000 0.0000 2.5515 Na
0.0000 2.5515 0.0000 Na
2.1831 0.0000 0.0000 Ge
2.1831 2.5515 2.5515 B
0.0000 0.0000 0.0000 Cu

---

2.
GGA-PBEsol CaTc2As, optimized geometry; E = -30.34 eV for the cell shown; density = 6522 kg/m3; density of states at the Fermi level = 1.76 states/eV/f.u.
1.0
4.1579 0.0000 0.0000
2.0790 3.6009 0.0000
2.0790 1.2003 5.2883
As Ca Tc
1 1 2
Cartesian
4.1579 2.4006 3.2744 As
2.0790 1.2003 1.3701 Ca
2.0790 1.2003 4.5589 Tc
6.2369 3.6009 4.0696 Tc

---

3.
GGA-PBEsol InSi3Se, optimized geometry; raw formation energy = 0.9042 eV per atom; density = 3967 kg/m3; density of states at the Fermi level = 2.76 states/eV/f.u.
1.0
4.8823 0.0000 0.0000
0.0000 4.8823 0.0000
0.0000 0.0000 4.8823
Si Se In
3 1 1
Cartesian
0.0000 2.4412 0.0000 Si
0.0000 0.0000 2.4412 Si
2.4412 0.0000 0.0000 Si
0.0000 0.0000 0.0000 Se
2.4412 2.4412 2.4412 In

---

4.
GGA-PBEsol ZnTc2GeRh, optimized geometry; E = -28.72 eV for the cell shown; density = 8498 kg/m3; density of states at the Fermi level = 5.72 states/eV/f.u.
1.0
-2.8162 -1.4255 2.8655
1.3209 -4.2018 -0.7921
3.0892 0.3646 3.2174
Zn Ge Rh Tc
1 1 1 2
Cartesian
0.0000 0.0000 0.0000 Zn
-1.4081 -0.7127 1.4328 Ge
0.7969 -2.6314 2.6454 Rh
1.5446 0.1823 1.6087 Tc
0.6604 -2.1009 -0.3960 Tc